Entry 1:
Compound: RbY4S6
Source: Alexandria
Functional: GGA-PBE
Structure: optimized geometry

Crystal system: orthorhombic

extended XYZ file:
```
22
Lattice="3.976 0.000 0.000 -1.988 6.627 0.000 0.000 0.000 21.133" Properties=species:S:1:pos:R:3 pbc="T T T"
Y 0.000 1.739 0.859
Y 0.000 1.739 9.708
Rb 1.988 2.015 5.283
S 0.000 0.448 3.156
Y 1.988 4.889 11.425
Rb 0.000 4.613 15.850
Y 0.000 5.303 2.812
S 0.000 4.558 5.283
S 0.000 0.448 7.410
S 1.988 2.069 15.850
Y 1.988 1.324 18.321
S 1.988 0.000 10.566
Y 1.988 1.324 13.378
S 1.988 6.179 17.977
S 0.000 3.030 12.228
S 1.988 6.179 13.723
S 1.988 3.597 1.661
S 0.000 3.030 19.472
Y 0.000 5.303 7.755
Y 1.988 4.889 20.274
S 1.988 0.000 0.000
S 1.988 3.597 8.905
```

Entry 2:
Compound: RbY3S
Source: Alexandria
Functional: GGA-PBE
Structure: optimized geometry

Crystal system: cubic
Energy above the most stable polymorph in this dataset in meV per atom: 1699

extended XYZ file:
```
5
Lattice="5.501 0.000 0.000 0.000 5.501 0.000 0.000 0.000 5.501" Properties=species:S:1:pos:R:3 pbc="T T T"
Rb 0.000 0.000 0.000
Y 2.750 0.000 0.000
Y 0.000 0.000 2.750
Y 0.000 2.750 0.000
S 2.750 2.750 2.750
```

no.,total DFT energy (no corrections) (eV per cell),size of the total moment (μB per cell)
1,-146.02,0.0
2,-17.19,0.0